CePrGdDy | PBE | relaxed

Unit cell a=8.0968 b=8.0968 c=8.0968 alpha=90.00 beta=90.00 gamma=90.00
Element x y z (fractional)
Ce  0.0000  0.0000  0.0000
Ce  0.0000  0.5000  0.5000
Ce  0.5000  0.0000  0.5000
Ce  0.5000  0.5000  0.0000
Pr  0.0000  0.0000  0.5000
Pr  0.0000  0.5000  0.0000
Pr  0.5000  0.0000  0.0000
Pr  0.5000  0.5000  0.5000
Gd  0.2500  0.2500  0.2500
Gd  0.2500  0.7500  0.7500
Gd  0.7500  0.2500  0.7500
Gd  0.7500  0.7500  0.2500
Dy  0.2500  0.2500  0.7500
Dy  0.2500  0.7500  0.2500
Dy  0.7500  0.2500  0.2500
Dy  0.7500  0.7500  0.7500

Results
- Energy of formation: 0.175 eV per atom
- Space-group type: No. 216

---

Sr4SiIBr2 | PBE | relaxed

Unit cell a=7.9151 b=4.6724 c=8.2255 alpha=90.00 beta=109.52 gamma=90.00
Element x y z (fractional)
Sr  0.2218  0.0000  0.2121
Sr  0.2394  0.5000  0.7813
Sr  0.7606  0.5000  0.2187
Sr  0.7782  0.0000  0.7879
Si  0.0000  0.5000  0.0000
I  0.0000  0.0000  0.5000
Br  0.5000  0.0000  0.0000
Br  0.5000  0.5000  0.5000

Results
- Raw formation energy: -1195 meV/atom
- Space-group type: No. 10

---

Ca6Ge2F | PBE | relaxed

Unit cell a=6.6192 b=8.0214 c=11.5309 alpha=90.00 beta=124.50 gamma=90.00
Element x y z (fractional)
Ca  0.1113  0.1757  0.4399
Ca  0.1113  0.3243  0.9399
Ca  0.2670  0.6655  0.4402
Ca  0.2670  0.8345  0.9402
Ca  0.3707  0.0315  0.2551
Ca  0.3707  0.4685  0.7551
Ca  0.6293  0.5315  0.2449
Ca  0.6293  0.9685  0.7449
Ca  0.7330  0.1655  0.0598
Ca  0.7330  0.3345  0.5598
Ca  0.8887  0.6757  0.0601
Ca  0.8887  0.8243  0.5601
Ge  0.2024  0.1178  0.7460
Ge  0.2024  0.3822  0.2460
Ge  0.7976  0.6178  0.7540
Ge  0.7976  0.8822  0.2540
F  0.5000  0.0000  0.5000
F  0.5000  0.5000  0.0000

Results
- Raw formation energy: -969 meV/atom
- Space-group type: No. 14

---

Tb2CdFe | PBE | relaxed

Unit cell a=7.1906 b=7.1906 c=7.1906 alpha=90.00 beta=90.00 gamma=90.00
Element x y z (fractional)
Tb  0.2500  0.2500  0.2500
Tb  0.2500  0.2500  0.7500
Tb  0.2500  0.7500  0.2500
Tb  0.2500  0.7500  0.7500
Tb  0.7500  0.2500  0.2500
Tb  0.7500  0.2500  0.7500
Tb  0.7500  0.7500  0.2500
Tb  0.7500  0.7500  0.7500
Cd  0.0000  0.0000  0.0000
Cd  0.0000  0.5000  0.5000
Cd  0.5000  0.0000  0.5000
Cd  0.5000  0.5000  0.0000
Fe  0.0000  0.0000  0.5000
Fe  0.0000  0.5000  0.0000
Fe  0.5000  0.0000  0.0000
Fe  0.5000  0.5000  0.5000

Results
- Energy above the lowest structure with this stoichiometry: 102.4 meV/atom
- Energy of formation: -0.001 eV per atom
- Space-group type: No. 225

---

In2H4Ir | PBE | relaxed

Unit cell a=8.8160 b=6.6796 c=3.6094 alpha=90.00 beta=112.88 gamma=90.00
Element x y z (fractional)
In  0.0000  0.2075  0.0000
In  0.0000  0.7925  0.0000
In  0.5000  0.2925  0.0000
In  0.5000  0.7075  0.0000
H  0.1127  0.5000  0.6088
H  0.2681  0.1849  0.2579
H  0.2681  0.8151  0.2579
H  0.3448  0.0000  0.8094
H  0.6127  0.0000  0.6088
H  0.7681  0.3151  0.2579
H  0.7681  0.6849  0.2579
H  0.8448  0.5000  0.8094
Ir  0.4086  0.0000  0.4149
Ir  0.9086  0.5000  0.4149

Results
- Energy above the lowest structure with this stoichiometry: 0.0 meV/atom
- Space-group type: No. 8

---

TbHf2Ru3 | PBE | relaxed

Unit cell a=3.2827 b=3.2827 c=9.9931 alpha=90.00 beta=90.00 gamma=90.00
Element x y z (fractional)
Tb  0.0000  0.0000  0.0000
Hf  0.0000  0.0000  0.3366
Hf  0.0000  0.0000  0.6634
Ru  0.5000  0.5000  0.1851
Ru  0.5000  0.5000  0.5000
Ru  0.5000  0.5000  0.8149

Results
- Energy of formation: -0.666 eV per atom
- Space-group type: No. 123

---

Mg2Ga2Ni5Sn | PBE | relaxed

Unit cell a=8.9813 b=8.9813 c=3.5860 alpha=90.00 beta=90.00 gamma=90.00
Element x y z (fractional)
Mg  0.1742  0.3258  0.0000
Mg  0.3258  0.8258  0.0000
Mg  0.6742  0.1742  0.0000
Mg  0.8258  0.6742  0.0000
Ga  0.1221  0.6221  0.0000
Ga  0.3779  0.1221  0.0000
Ga  0.6221  0.8779  0.0000
Ga  0.8779  0.3779  0.0000
Ni  0.0000  0.5000  0.5000
Ni  0.0714  0.7939  0.5000
Ni  0.2061  0.0714  0.5000
Ni  0.2939  0.5714  0.5000
Ni  0.4286  0.2939  0.5000
Ni  0.5000  0.0000  0.5000
Ni  0.5714  0.7061  0.5000
Ni  0.7061  0.4286  0.5000
Ni  0.7939  0.9286  0.5000
Ni  0.9286  0.2061  0.5000
Sn  0.0000  0.0000  0.0000
Sn  0.5000  0.5000  0.0000

Results
- Energy of formation: -0.256 eV per atom
- Space-group type: No. 127

---

Pa2AgGe | PBE | relaxed

Unit cell a=4.4006 b=4.4006 c=4.4900 alpha=90.00 beta=90.00 gamma=90.00
Element x y z (fractional)
Pa  0.0000  0.5000  0.0000
Pa  0.5000  0.0000  0.0000
Ag  0.0000  0.0000  0.5000
Ge  0.5000  0.5000  0.5000

Results
- Energy above the lowest structure with this stoichiometry: 0.0 meV/atom
- Energy of formation: -0.083 eV per atom
- Space-group type: No. 123

---

Mg3AlC | PBE | relaxed

Unit cell a=4.4299 b=4.4299 c=4.4299 alpha=90.00 beta=90.00 gamma=90.00
Element x y z (fractional)
Mg  0.0000  0.0000  0.5000
Mg  0.0000  0.5000  0.0000
Mg  0.5000  0.0000  0.0000
Al  0.5000  0.5000  0.5000
C  0.0000  0.0000  0.0000

Results
- Energy above the lowest structure with this stoichiometry: 0.0 meV/atom
- Energy of formation: 0.248 eV per atom
- Space-group type: No. 221

---

Te4N | PBE | relaxed

Unit cell a=4.8989 b=4.8989 c=4.8989 alpha=90.00 beta=90.00 gamma=90.00
Element x y z (fractional)
Te  0.0000  0.0000  0.0000
Te  0.0000  0.5000  0.5000
Te  0.5000  0.0000  0.5000
Te  0.5000  0.5000  0.0000
N  0.5000  0.5000  0.5000

Results
- Raw formation energy: 742 meV/atom
- Space-group type: No. 221

---

LiNb2Sn2 | PBE | relaxed

Unit cell a=8.4501 b=8.4501 c=3.0427 alpha=90.00 beta=90.00 gamma=90.00
Element x y z (fractional)
Li  0.0000  0.0000  0.0000
Li  0.5000  0.5000  0.0000
Nb  0.1128  0.3872  0.0000
Nb  0.3872  0.8872  0.0000
Nb  0.6128  0.1128  0.0000
Nb  0.8872  0.6128  0.0000
Sn  0.1810  0.6810  0.5000
Sn  0.3190  0.1810  0.5000
Sn  0.6810  0.8190  0.5000
Sn  0.8190  0.3190  0.5000

Results
- Energy above the lowest structure with this stoichiometry: 0.0 meV/atom
- Energy of formation: 0.014 eV per atom
- Space-group type: No. 127

---

Pa2MnAg | PBE | relaxed

Unit cell a=3.0578 b=3.0578 c=8.6379 alpha=90.00 beta=90.00 gamma=90.00
Element x y z (fractional)
Pa  0.0000  0.0000  0.2090
Pa  0.0000  0.0000  0.7910
Mn  0.5000  0.5000  0.0000
Ag  0.5000  0.5000  0.5000

Results
- Energy above the lowest structure with this stoichiometry: 0.0 meV/atom
- Energy of formation: 0.049 eV per atom
- Space-group type: No. 123